[1]
The following is a GGA-PBE calculation of a relaxed structure of NaAcTeSe, from Alexandria.

Values from the calculation:
- ΔE_f (raw): -1396 meV/atom
- Magnetization: 0.00 μB/cell
- VASP energy: -70.55 eV per cell
- Volume: 29.53 A^3/atom

```
data_NaAcTeSe
_chemical_formula_sum 'Na4 Ac4 Te4 Se4'
_cell_length_a 7.788
_cell_length_b 7.788
_cell_length_c 7.788
_cell_angle_alpha 90.00
_cell_angle_beta 90.00
_cell_angle_gamma 90.00
_symmetry_space_group_name_H-M 'F -4 3 m'
_symmetry_Int_Tables_number 216
_symmetry_space_group_name_Hall 'F -4 2 3'
loop_
_atom_site_label
_atom_site_type_symbol
_atom_site_fract_x
_atom_site_fract_y
_atom_site_fract_z
_atom_site_occupancy
Na1 Na 0.000 0.000 0.000 1
Ac1 Ac 0.000 0.000 0.500 1
Te1 Te 0.250 0.250 0.750 1
Se1 Se 0.250 0.250 0.250 1
```



[2]
The following is a GGA-PBE calculation of a relaxed structure of CdRe2Te, from Alexandria.

Values from the calculation:
- ΔE_f (raw): 788 meV/atom
- Magnetization: 0.00 μB/cell
- VASP energy: -51.60 eV per cell
- Volume: 19.77 A^3/atom
- Polymorph energy (0 for the lowest one): 408.8 meV/atom

```
data_CdRe2Te
_chemical_formula_sum 'Cd2 Re4 Te2'
_cell_length_a 3.020
_cell_length_b 4.789
_cell_length_c 10.935
_cell_angle_alpha 90.00
_cell_angle_beta 90.00
_cell_angle_gamma 90.00
_symmetry_space_group_name_H-M 'I m m 2'
_symmetry_Int_Tables_number 44
loop_
_symmetry_equiv_pos_as_xyz
'x,y,z'
'-x,-y,z'
'-x,y,z'
'x,-y,z'
'x+1/2,y+1/2,z+1/2'
'-x+1/2,-y+1/2,z+1/2'
'-x+1/2,y+1/2,z+1/2'
'x+1/2,-y+1/2,z+1/2'
loop_
_atom_site_label
_atom_site_type_symbol
_atom_site_fract_x
_atom_site_fract_y
_atom_site_fract_z
_atom_site_occupancy
Cd1 Cd 0.000 0.000 0.000 1
Re1 Re 0.000 0.000 0.516 1
Re2 Re 0.000 0.500 0.199 1
Te1 Te 0.000 0.500 0.791 1
```



[3]
The following is a GGA-PBE calculation of a relaxed structure of Tb2CePt, from Alexandria.

Values from the calculation:
- ΔE_f: -1.73 eV per formula unit
- Magnetization: 5.47 μB/cell
- VASP energy: -68.91 eV per cell
- Volume: 30.43 A^3/atom
- Polymorph energy (0 for the lowest one): 108.4 meV/atom

```
data_Tb2CePt
_chemical_formula_sum 'Tb6 Ce3 Pt3'
_cell_length_a 3.8887
_cell_length_b 3.8887
_cell_length_c 27.8818
_cell_angle_alpha 90.00
_cell_angle_beta 90.00
_cell_angle_gamma 120.00
_symmetry_space_group_name_H-M 'R 3 m'
_symmetry_Int_Tables_number 160
_symmetry_space_group_name_Hall 'R 3 -2"'
loop_
_atom_site_label
_atom_site_type_symbol
_atom_site_fract_x
_atom_site_fract_y
_atom_site_fract_z
_atom_site_occupancy
Tb1 Tb 0.0000 0.0000 0.0000 1
Tb2 Tb 0.0000 0.0000 0.2121 1
Ce1 Ce 0.0000 0.0000 0.7707 1
Pt1 Pt 0.0000 0.0000 0.6064 1
```



[4]
The following is a GGA-PBE calculation of a relaxed structure of MnSbTe2, from Alexandria.

Values from the calculation:
- ΔE_f (raw): 13 meV/atom
- Magnetization: 6.33 μB/cell
- VASP energy: -39.04 eV per cell
- Volume: 30.28 A^3/atom

```
data_MnSbTe2
_chemical_formula_sum 'Mn2 Sb2 Te4'
_cell_length_a 9.699
_cell_length_b 3.827
_cell_length_c 7.044
_cell_angle_alpha 90.00
_cell_angle_beta 112.11
_cell_angle_gamma 90.00
_symmetry_space_group_name_H-M 'C 1 m 1'
_symmetry_Int_Tables_number 8
loop_
_symmetry_equiv_pos_as_xyz
'x,y,z'
'x,-y,z'
'x+1/2,y+1/2,z'
'x+1/2,-y+1/2,z'
loop_
_atom_site_label
_atom_site_type_symbol
_atom_site_fract_x
_atom_site_fract_y
_atom_site_fract_z
_atom_site_occupancy
Mn1 Mn 0.000 0.000 0.000 1
Sb1 Sb 0.292 0.000 0.000 1
Te1 Te 0.102 0.500 0.294 1
Te2 Te 0.436 0.000 0.703 1
```



[5]
The following is a GGA-PBE calculation of a relaxed structure of TaGaAu2Cl, from Alexandria.

Values from the calculation:
- ΔE_f (raw): 349 meV/atom
- Magnetization: 0.00 μB/cell
- VASP energy: -21.54 eV per cell
- Volume: 26.08 A^3/atom

```
data_TaGaAu2Cl
_chemical_formula_sum 'Ta1 Ga1 Au2 Cl1'
_cell_length_a 5.260
_cell_length_b 5.260
_cell_length_c 4.713
_cell_angle_alpha 90.00
_cell_angle_beta 90.00
_cell_angle_gamma 90.00
_symmetry_space_group_name_H-M 'P 4/m m m'
_symmetry_Int_Tables_number 123
_symmetry_space_group_name_Hall '-P 4 2'
loop_
_atom_site_label
_atom_site_type_symbol
_atom_site_fract_x
_atom_site_fract_y
_atom_site_fract_z
_atom_site_occupancy
Ta1 Ta 0.000 0.000 0.000 1
Ga1 Ga 0.500 0.500 0.500 1
Au1 Au 0.000 0.500 0.000 1
Cl1 Cl 0.000 0.000 0.500 1
```